# 1
Here is ZrMnRh2 after structural relaxation from Alexandria via LeMat-Bulk. Energies are from GGA-PBEsol.

Cell lengths 6.2559, 6.2559, 6.2559 Å; angles 90.00, 90.00, 90.00 degrees
Space group Fm-3m (No. 225)
Unique sites:
1 Zr 0.0000 0.0000 0.0000 x4
2 Mn 0.0000 0.0000 0.5000 x4
3 Rh 0.2500 0.2500 0.2500 x8

* DFT total energy: -9.278 eV/atom
* formation energy from the elements: -496 meV per atom

***

# 2
Here is Cu2IrAu after structural relaxation from Alexandria via LeMat-Bulk. Energies are from GGA-PBEsol.

Cell lengths 2.6310, 4.3487, 4.8394 Å; angles 90.00, 92.22, 90.00 degrees
Space group P2/m (No. 10)
Unique sites:
1 Cu 0.2079 0.0000 0.2323 x2
2 Ir 0.5000 0.5000 0.0000 x1
3 Au 0.0000 0.5000 0.5000 x1

* DFT total energy: -5.372 eV/atom
* formation energy from the elements: 232 meV per atom

***

# 3
Here is Li11Ti24O48 after structural relaxation from Alexandria via LeMat-Bulk. Energies are from GGA-PBEsol.

Cell lengths 10.2399, 17.7366, 10.2389 Å; angles 90.00, 109.48, 90.00 degrees
Space group Cm (No. 8)
Unique sites:
1 Li 0.0000 0.0000 0.0000 x2
2 Li 0.9998 0.1653 0.4963 x4
3 Li 0.1239 0.1665 0.8723 x4
4 Li 0.1239 0.3333 0.3723 x4
5 Li 0.1237 0.5000 0.8723 x2
6 Li 0.4960 0.0000 0.4964 x2
7 Li 0.4988 0.1665 0.9975 x4
8 Ti 0.0611 0.3327 0.6848 x4
9 Ti 0.0613 0.5000 0.1840 x2
10 Ti 0.0623 0.0000 0.6840 x2
11 Ti 0.0623 0.1659 0.1860 x4
12 Ti 0.3104 0.0832 0.1861 x4
13 Ti 0.3102 0.0828 0.6834 x4
14 Ti 0.3105 0.1662 0.4337 x4
15 Ti 0.3110 0.2499 0.1838 x4
16 Ti 0.3112 0.3330 0.9353 x4
17 Ti 0.3107 0.4172 0.6853 x4
18 Ti 0.3122 0.0000 0.9350 x2
19 Ti 0.3122 0.5000 0.4339 x2
20 Ti 0.3127 0.2503 0.6848 x4
21 Ti 0.3127 0.4173 0.1861 x4
22 O 0.1914 0.4246 0.3036 x4
23 O 0.1924 0.1669 0.0772 x4
24 O 0.1921 0.4083 0.8040 x4
25 O 0.1918 0.5000 0.0772 x2
26 O 0.1927 0.0754 0.8047 x4
27 O 0.1926 0.2425 0.3034 x4
28 O 0.1928 0.2579 0.8036 x4
29 O 0.1926 0.3334 0.5783 x4
30 O 0.1944 0.0000 0.5839 x2
31 O 0.1944 0.0940 0.3019 x4
32 O 0.2039 0.5000 0.5661 x2
33 O 0.2051 0.0000 0.0657 x2
34 O 0.2053 0.1671 0.5662 x4
35 O 0.2045 0.3333 0.0657 x4
36 O 0.4124 0.5000 0.3019 x2
37 O 0.4181 0.3336 0.8040 x4
38 O 0.4189 0.0000 0.8043 x2
39 O 0.4188 0.1671 0.3034 x4
40 O 0.4304 0.0752 0.0659 x4
41 O 0.4302 0.2581 0.0657 x4
42 O 0.4299 0.3331 0.2911 x4
43 O 0.4299 0.4083 0.0656 x4
44 O 0.4297 0.4249 0.5665 x4
45 O 0.4301 0.5000 0.7922 x2
46 O 0.4306 0.0000 0.2912 x2
47 O 0.4307 0.0919 0.5662 x4
48 O 0.4305 0.1669 0.7916 x4
49 O 0.4307 0.2423 0.5658 x4

* E_form (uncorrected): -279 kJ/mol of atoms
* DFT total energy: -8.595 eV/atom

***

# 4
Here is MnPCN2 after structural relaxation from Alexandria via LeMat-Bulk. Energies are from GGA-PBEsol.

Cell lengths 3.4832, 3.4832, 3.7334 Å; angles 90.00, 90.00, 90.00 degrees
Space group P4/mmm (No. 123)
Unique sites:
1 Mn 0.0000 0.0000 0.0000 x1
2 P 0.5000 0.5000 0.0000 x1
3 C 0.5000 0.5000 0.5000 x1
4 N 0.0000 0.5000 0.5000 x2

* E_form (uncorrected): 173 kJ/mol of atoms
* DFT total energy: -6.657 eV/atom

***

# 5
Here is SiTc2Ir after structural relaxation from Alexandria via LeMat-Bulk. Energies are from GGA-PBEsol.

Cell lengths 2.7242, 2.7242, 25.3243 Å; angles 90.00, 90.00, 120.00 degrees
Space group R-3m (No. 166, hexagonal axes)
Unique sites:
1 Si 0.0000 0.0000 0.0000 x3
2 Tc 0.0000 0.0000 0.2534 x6
3 Ir 0.0000 0.0000 0.5000 x3

* E_form (uncorrected): -19 kJ/mol of atoms
* DFT total energy: -9.726 eV/atom

***

# 6
Here is NaNiSe3 after structural relaxation from Alexandria via LeMat-Bulk. Energies are from GGA-PBEsol.

Cell lengths 4.7235, 4.7235, 4.7235 Å; angles 90.00, 90.00, 90.00 degrees
Space group Pm-3m (No. 221)
Unique sites:
1 Na 0.0000 0.0000 0.0000 x1
2 Ni 0.5000 0.5000 0.5000 x1
3 Se 0.0000 0.5000 0.5000 x3

* E_form (uncorrected): -12 kJ/mol of atoms
* DFT total energy: -3.951 eV/atom

***

# 7
Here is SrBiPd3 after structural relaxation from Alexandria via LeMat-Bulk. Energies are from GGA-PBEsol.

Cell lengths 5.0615, 5.0615, 5.0615 Å; angles 90.00, 90.00, 90.00 degrees
Space group Pm-3m (No. 221)
Unique sites:
1 Sr 0.0000 0.0000 0.0000 x1
2 Bi 0.5000 0.5000 0.5000 x1
3 Pd 0.0000 0.5000 0.5000 x3

* DFT total energy: -4.843 eV/atom
* formation energy from the elements: -42 meV per atom

***

# 8
Here is Ca2YW after structural relaxation from Alexandria via LeMat-Bulk. Energies are from GGA-PBEsol.

Cell lengths 3.6997, 3.6997, 8.3267 Å; angles 90.00, 90.00, 90.00 degrees
Space group P4mm (No. 99)
Unique sites:
1 Ca 0.0000 0.0000 0.0000 x1
2 Ca 0.5000 0.5000 0.3478 x1
3 Y 0.5000 0.5000 0.7252 x1
4 W 0.0000 0.0000 0.5847 x1

* DFT total energy: -5.605 eV/atom
* formation energy from the elements: 619 meV per atom
* polymorph energy (0 for the lowest one): 0.000 eV per atom

***

# 9
Here is Ga2TeOF after structural relaxation from Alexandria via LeMat-Bulk. Energies are from GGA-PBEsol.

Cell lengths 4.3364, 4.3364, 4.1453 Å; angles 90.00, 90.00, 90.00 degrees
Space group P4/mmm (No. 123)
Unique sites:
1 Ga 0.0000 0.5000 0.0000 x2
2 Te 0.0000 0.0000 0.5000 x1
3 O 0.5000 0.5000 0.0000 x1
4 F 0.5000 0.5000 0.5000 x1

* E_form (uncorrected): -44 kJ/mol of atoms
* DFT total energy: -3.937 eV/atom

***

# 10
Here is InHgRh2 after structural relaxation from Alexandria via LeMat-Bulk. Energies are from GGA-PBEsol.

Cell lengths 6.4211, 6.4211, 6.4211 Å; angles 90.00, 90.00, 90.00 degrees
Space group F-43m (No. 216)
Unique sites:
1 In 0.0000 0.0000 0.0000 x4
2 Hg 0.2500 0.2500 0.2500 x4
3 Rh 0.0000 0.0000 0.5000 x4
4 Rh 0.2500 0.2500 0.7500 x4

* DFT total energy: -4.833 eV/atom
* formation energy from the elements: 124 meV per atom

***

# 11
Here is Ca4SiP4 after structural relaxation from Alexandria via LeMat-Bulk. Energies are from GGA-PBEsol.

Cell lengths 11.7537, 11.7537, 11.7537 Å; angles 90.00, 90.00, 90.00 degrees
Space group P-43n (No. 218)
Unique sites:
1 Ca 0.0960 0.1335 0.3550 x24
2 Ca 0.1455 0.1455 0.8545 x8
3 Si 0.0000 0.0000 0.0000 x2
4 Si 0.0000 0.5000 0.2500 x6
5 P 0.1083 0.3812 0.3544 x24
6 P 0.1103 0.1103 0.1103 x8

* E_form (uncorrected): -102 kJ/mol of atoms
* DFT total energy: -5.218 eV/atom

***

# 12
Here is LaYMg2 after structural relaxation from Alexandria via LeMat-Bulk. Energies are from GGA-PBEsol.

Cell lengths 7.6650, 7.6650, 7.6650 Å; angles 90.00, 90.00, 90.00 degrees
Space group Fm-3m (No. 225)
Unique sites:
1 La 0.0000 0.0000 0.0000 x4
2 Y 0.0000 0.0000 0.5000 x4
3 Mg 0.2500 0.2500 0.2500 x8

* DFT total energy: -4.000 eV/atom
* formation energy from the elements: -100 meV per atom